{
  "formula": "DyTmZn2Sn2",
  "functional": "PBE-GGA",
  "state": "relaxed",
  "lattice": [[-1.716, 1.081, 4.008], [-2.615, 0.059, -3.652], [-3.743, -14.980, 2.438]],
  "species": ["Tm", "Tm", "Sn", "Sn", "Sn", "Sn", "Dy", "Dy", "Zn", "Zn", "Zn", "Zn"],
  "fractional_positions": [[0.000, 0.000, 0.500], [0.000, 0.000, 0.000], [0.333, 0.667, 0.888], [0.667, 0.333, 0.112], [0.333, 0.667, 0.612], [0.667, 0.333, 0.388], [0.000, 0.000, 0.750], [0.000, 0.000, 0.250], [0.667, 0.333, 0.840], [0.333, 0.667, 0.160], [0.333, 0.667, 0.340], [0.667, 0.333, 0.660]]
}

=====

{
  "formula": "DyTmZn2Sn2",
  "functional": "PBE-GGA",
  "state": "relaxed",
  "lattice": [[-0.314, -4.427, 0.673], [2.997, 1.619, -2.925], [10.650, 0.985, 11.458]],
  "species": ["Zn", "Zn", "Zn", "Zn", "Dy", "Dy", "Sn", "Sn", "Sn", "Sn", "Tm", "Tm"],
  "fractional_positions": [[0.667, 0.333, 0.838], [0.333, 0.667, 0.162], [0.333, 0.667, 0.338], [0.667, 0.333, 0.662], [0.000, 0.000, 0.500], [0.000, 0.000, 0.000], [0.333, 0.667, 0.886], [0.667, 0.333, 0.386], [0.667, 0.333, 0.114], [0.333, 0.667, 0.614], [0.000, 0.000, 0.750], [0.000, 0.000, 0.250]]
}

=====

{
  "formula": "DyTmZn2Sn2",
  "functional": "PBE-GGA",
  "state": "relaxed",
  "lattice": [[5.320, 5.783, 1.885], [0.318, 8.044, -0.694], [-4.100, -6.627, 2.139]],
  "species": ["Tm", "Sn", "Sn", "Zn", "Zn", "Dy"],
  "fractional_positions": [[0.657, 0.657, 0.000], [0.865, 0.865, 0.000], [0.134, 0.134, 0.000], [0.500, 0.000, 0.500], [0.000, 0.500, 0.500], [0.342, 0.342, 0.000]]
}

=====

no.,polymorph energy (0 for the lowest one) (eV per atom),E_tot (eV per cell)
1,0.007,-45.88
2,0.000,-45.96
3,0.076,-22.52